NaNi2Sn8 (PBE, optimized geometry); formation energy from the elements = -0.229 eV per formula unit; crystal system = tetragonal; DOS at the Fermi energy = 5.35 states/eV per cell; calculated volume = 314.0 Å³ per cell
1.0
6.3272 0.0000 0.0000
0.0000 6.3272 0.0000
0.0000 0.0000 7.8432
Na Ni Sn
1 2 8
Direct
0.0000 0.0000 0.0000 Na
0.0000 0.5000 0.5000 Ni
0.5000 0.0000 0.5000 Ni
0.2539 0.2539 0.3032 Sn
0.2539 0.2539 0.6968 Sn
0.2539 0.7461 0.3032 Sn
0.2539 0.7461 0.6968 Sn
0.7461 0.2539 0.3032 Sn
0.7461 0.2539 0.6968 Sn
0.7461 0.7461 0.3032 Sn
0.7461 0.7461 0.6968 Sn

***

NaNiSn2 (PBE, optimized geometry); formation energy from the elements = -0.663 eV per formula unit; crystal system = trigonal; DOS at the Fermi energy = 1.79 states/eV per cell; calculated volume = 96.1 Å³ per cell
1.0
2.1526 1.2428 5.9846
-2.1526 1.2428 5.9846
0.0000 -2.4856 5.9846
Na Ni Sn
1 1 2
Direct
0.0000 0.0000 0.0000 Na
0.8270 0.8270 0.8270 Ni
0.2151 0.2151 0.2151 Sn
0.4461 0.4461 0.4461 Sn

***

NaNiSn2 (PBE, optimized geometry); formation energy from the elements = -0.346 eV per formula unit; crystal system = orthorhombic; DOS at the Fermi energy = 9.08 states/eV per cell; calculated volume = 351.5 Å³ per cell
1.0
7.5310 0.0000 0.0000
0.0000 6.2405 0.0000
0.0000 0.0000 7.4789
Na Ni Sn
4 4 8
Direct
0.0035 0.2500 0.0092 Na
0.4965 0.7500 0.5092 Na
0.5035 0.2500 0.4908 Na
0.9965 0.7500 0.9908 Na
0.1471 0.2500 0.6484 Ni
0.3529 0.7500 0.1484 Ni
0.6471 0.2500 0.8516 Ni
0.8529 0.7500 0.3516 Ni
0.1451 0.0038 0.3492 Sn
0.1451 0.4962 0.3492 Sn
0.3549 0.5038 0.8492 Sn
0.3549 0.9962 0.8492 Sn
0.6451 0.0038 0.1508 Sn
0.6451 0.4962 0.1508 Sn
0.8549 0.5038 0.6508 Sn
0.8549 0.9962 0.6508 Sn

***

NaNi2Sn4 (PBE, optimized geometry); formation energy from the elements = -1.286 eV per formula unit; crystal system = orthorhombic; DOS at the Fermi energy = 10.70 states/eV per cell; polymorph energy (0 for the lowest one) = 0 meV/atom; calculated volume = 574.1 Å³ per cell
1.0
18.2904 0.0000 0.0000
0.0000 4.3604 0.0000
0.0000 0.0000 7.1988
Na Ni Sn
4 8 16
Direct
0.1433 0.2500 0.0227 Na
0.3567 0.7500 0.5227 Na
0.6433 0.2500 0.4773 Na
0.8567 0.7500 0.9773 Na
0.0360 0.7500 0.2566 Ni
0.2137 0.2500 0.5330 Ni
0.2863 0.7500 0.0330 Ni
0.4640 0.2500 0.7566 Ni
0.5360 0.7500 0.2434 Ni
0.7137 0.2500 0.9670 Ni
0.7863 0.7500 0.4670 Ni
0.9640 0.2500 0.7434 Ni
0.0318 0.7500 0.8724 Sn
0.0675 0.2500 0.4836 Sn
0.1827 0.7500 0.3162 Sn
0.1949 0.7500 0.7405 Sn
0.3051 0.2500 0.2405 Sn
0.3173 0.2500 0.8162 Sn
0.4325 0.7500 0.9836 Sn
0.4682 0.2500 0.3724 Sn
0.5318 0.7500 0.6276 Sn
0.5675 0.2500 0.0164 Sn
0.6827 0.7500 0.1838 Sn
0.6949 0.7500 0.7595 Sn
0.8051 0.2500 0.2595 Sn
0.8173 0.2500 0.6838 Sn
0.9325 0.7500 0.5164 Sn
0.9682 0.2500 0.1276 Sn

***

Question: DOS at the Fermi energy of number 2 (NaNiSn2)?
Answer: 1.79 states/eV per cell